Entry 1:
Computed, not measured: crystalline Rb12H5Pd3 at its relaxed geometry at the GGA-PBE level of DFT.

Cell and atoms, written as CIF:
```
data_Rb12H5Pd3
_chemical_formula_sum 'Rb96 H40 Pd24'
_space_group_name_H-M_alt 'I a -3 d'
_space_group_IT_number 230
_space_group_name_Hall '-I 4bd 2c 3'
_cell_length_a 18.520
_cell_length_b 18.520
_cell_length_c 18.520
_cell_angle_alpha 90.00
_cell_angle_beta 90.00
_cell_angle_gamma 90.00
loop_
_atom_site_label
_atom_site_type_symbol
_atom_site_fract_x
_atom_site_fract_y
_atom_site_fract_z
_atom_site_occupancy
Rb1 Rb 0.025 0.057 0.653 1
H1 H 0.000 0.000 0.000 1
H2 H 0.000 0.250 0.375 1
Pd1 Pd 0.000 0.250 0.125 1
```

Properties
* density of states at the Fermi level: 68.88 states/eV per cell
* DFT total energy: -2.18 eV per atom

***

Entry 2:
Computed, not measured: crystalline Cs3Tl8Pb3 at its relaxed geometry at the GGA-PBE level of DFT.

Cell and atoms, written as CIF:
```
data_Cs3Tl8Pb3
_chemical_formula_sum 'Cs6 Tl16 Pb6'
_space_group_name_H-M_alt 'I m m m'
_space_group_IT_number 71
_space_group_name_Hall '-I 2 2'
_cell_length_a 5.550
_cell_length_b 12.352
_cell_length_c 15.545
_cell_angle_alpha 90.00
_cell_angle_beta 90.00
_cell_angle_gamma 90.00
loop_
_atom_site_label
_atom_site_type_symbol
_atom_site_fract_x
_atom_site_fract_y
_atom_site_fract_z
_atom_site_occupancy
Cs1 Cs 0.000 0.000 0.000 1
Cs2 Cs 0.000 0.000 0.297 1
Tl1 Tl 0.000 0.280 0.128 1
Tl2 Tl 0.000 0.352 0.332 1
Pb1 Pb 0.000 0.186 0.500 1
Pb2 Pb 0.000 0.500 0.000 1
```

Properties
* density of states at the Fermi level: 10.95 states/eV per cell
* energy relative to the elements: -77 meV per atom

***

Entry 3:
Computed, not measured: crystalline Sm5Er2Mg5 at its relaxed geometry at the GGA-PBE level of DFT.

Cell and atoms, written as CIF:
```
data_Sm5Er2Mg5
_chemical_formula_sum 'Sm10 Er4 Mg10'
_space_group_name_H-M_alt 'C 1 2/m 1'
_space_group_IT_number 12
_cell_length_a 17.089
_cell_length_b 3.668
_cell_length_c 12.229
_cell_angle_alpha 90.00
_cell_angle_beta 114.42
_cell_angle_gamma 90.00
loop_
_space_group_symop_operation_xyz
'x,y,z'
'-x,-y,-z'
'-x,y,-z'
'x,-y,z'
'x+1/2,y+1/2,z'
'-x+1/2,-y+1/2,-z'
'-x+1/2,y+1/2,-z'
'x+1/2,-y+1/2,z'
loop_
_atom_site_label
_atom_site_type_symbol
_atom_site_fract_x
_atom_site_fract_y
_atom_site_fract_z
_atom_site_occupancy
Sm1 Sm 0.000 0.000 0.000 1
Sm2 Sm 0.059 0.000 0.745 1
Sm3 Sm 0.168 0.000 0.524 1
Er1 Er 0.119 0.500 0.259 1
Mg1 Mg 0.000 0.500 0.500 1
Mg2 Mg 0.172 0.500 0.001 1
Mg3 Mg 0.233 0.500 0.780 1
```

Properties
* density of states at the Fermi level: 25.02 states/eV per cell
* energy relative to the elements: -39 meV per atom

***

Entry 4:
Computed, not measured: crystalline Cr2CdNi at its relaxed geometry at the GGA-PBE level of DFT.

Cell and atoms, written as CIF:
```
data_Cr2CdNi
_chemical_formula_sum 'Cr6 Cd3 Ni3'
_space_group_name_H-M_alt 'R 3 m'
_space_group_IT_number 160
_space_group_name_Hall 'R 3 -2"'
_cell_length_a 2.8233
_cell_length_b 2.8233
_cell_length_c 24.5209
_cell_angle_alpha 90.00
_cell_angle_beta 90.00
_cell_angle_gamma 120.00
loop_
_atom_site_label
_atom_site_type_symbol
_atom_site_fract_x
_atom_site_fract_y
_atom_site_fract_z
_atom_site_occupancy
Cr1 Cr 0.0000 0.0000 0.0000 1
Cr2 Cr 0.0000 0.0000 0.2700 1
Cd1 Cd 0.0000 0.0000 0.5020 1
Ni1 Ni 0.0000 0.0000 0.7436 1
```

Properties
* density of states at the Fermi level: 10.25 states/eV per cell
* energy relative to the elements: 329 meV per atom

***

Entry 5:
Computed, not measured: crystalline Li4AcTl2Cd at its relaxed geometry at the GGA-PBE level of DFT.

Cell and atoms, written as CIF:
```
data_Li4AcTl2Cd
_chemical_formula_sum 'Li12 Ac3 Tl6 Cd3'
_space_group_name_H-M_alt 'R -3 m'
_space_group_IT_number 166
_space_group_name_Hall '-R 3 2"'
_cell_length_a 4.7797
_cell_length_b 4.7797
_cell_length_c 28.4542
_cell_angle_alpha 90.00
_cell_angle_beta 90.00
_cell_angle_gamma 120.00
loop_
_atom_site_label
_atom_site_type_symbol
_atom_site_fract_x
_atom_site_fract_y
_atom_site_fract_z
_atom_site_occupancy
Li1 Li 0.0000 0.0000 0.0918 1
Li2 Li 0.0000 0.0000 0.3650 1
Ac1 Ac 0.0000 0.0000 0.5000 1
Tl1 Tl 0.0000 0.0000 0.2508 1
Cd1 Cd 0.0000 0.0000 0.0000 1
```

Properties
* density of states at the Fermi level: 15.52 states/eV per cell
* energy relative to the elements: -206 meV per atom

***

Entry 6:
Computed, not measured: crystalline LiYSn at its relaxed geometry at the GGA-PBE level of DFT.

Cell and atoms, written as CIF:
```
data_LiYSn
_chemical_formula_sum 'Li4 Y4 Sn4'
_space_group_name_H-M_alt 'C 1 m 1'
_space_group_IT_number 8
_cell_length_a 12.245
_cell_length_b 3.559
_cell_length_c 8.245
_cell_angle_alpha 90.00
_cell_angle_beta 123.24
_cell_angle_gamma 90.00
loop_
_space_group_symop_operation_xyz
'x,y,z'
'x,-y,z'
'x+1/2,y+1/2,z'
'x+1/2,-y+1/2,z'
loop_
_atom_site_label
_atom_site_type_symbol
_atom_site_fract_x
_atom_site_fract_y
_atom_site_fract_z
_atom_site_occupancy
Li1 Li 0.000 0.000 0.000 1
Li2 Li 0.069 0.500 0.356 1
Y1 Y 0.087 0.500 0.737 1
Y2 Y 0.321 0.500 0.342 1
Sn1 Sn 0.281 0.000 0.632 1
Sn2 Sn 0.327 0.000 0.033 1
```

Properties
* density of states at the Fermi level: 6.63 states/eV per cell
* energy relative to the elements: -315 meV per atom